[1]
Computed, not measured: TaPPtO2 after structural relaxation at the PBE level of DFT.

a b c (Å): 3.7932 3.7932 5.5801
angles (deg): 90.00 90.00 90.00
Atoms (fractional coordinates):
Ta 0.0000 0.0000 0.0000
P 0.0000 0.0000 0.5000
Pt 0.5000 0.5000 0.5000
O 0.0000 0.5000 0.0000
O 0.5000 0.0000 0.0000

Values from the calculation:
Theoretical density (g/cm³): 9.08
Formation energy (no corrections) (eV per atom): -1.1293
Total magnetic moment (μB per cell): 0.00
V (Å³ per cell): 80.29

---

[2]
Computed, not measured: TbP2PtO8 after structural relaxation at the PBE level of DFT.

a b c (Å): 5.1486 5.1486 6.8546
angles (deg): 90.00 90.00 120.00
Atoms (fractional coordinates):
Tb 0.0000 0.0000 0.0000
P 0.3333 0.6667 0.2141
P 0.6667 0.3333 0.7859
Pt 0.0000 0.0000 0.5000
O 0.1663 0.3327 0.2789
O 0.1663 0.8337 0.2789
O 0.3327 0.1663 0.7211
O 0.3333 0.6667 0.9910
O 0.6667 0.3333 0.0090
O 0.6673 0.8337 0.2789
O 0.8337 0.1663 0.7211
O 0.8337 0.6673 0.7211

Values from the calculation:
Theoretical density (g/cm³): 5.74
Formation energy (no corrections) (eV per atom): -1.9889
Total magnetic moment (μB per cell): 1.01
V (Å³ per cell): 157.36

---

[3]
Computed, not measured: TcP2PtO after structural relaxation at the PBE level of DFT.

a b c (Å): 4.7161 4.7161 3.6339
angles (deg): 90.00 90.00 90.00
Atoms (fractional coordinates):
Tc 0.0000 0.0000 0.0000
P 0.0000 0.5000 0.0000
P 0.5000 0.0000 0.0000
Pt 0.5000 0.5000 0.5000
O 0.0000 0.0000 0.5000

Values from the calculation:
Theoretical density (g/cm³): 7.62
Formation energy (no corrections) (eV per atom): 0.0765
Total magnetic moment (μB per cell): 0.00
V (Å³ per cell): 80.83

---

[4]
Computed, not measured: TcP2PtO after structural relaxation at the PBE level of DFT.

a b c (Å): 4.7741 4.7741 3.7589
angles (deg): 90.00 90.00 90.00
Atoms (fractional coordinates):
Tc 0.0000 0.0000 0.0000
P 0.0000 0.5000 0.5000
P 0.5000 0.0000 0.5000
Pt 0.5000 0.5000 0.5000
O 0.5000 0.5000 0.0000

Values from the calculation:
Theoretical density (g/cm³): 7.19
Formation energy (no corrections) (eV per atom): 0.7829
Total magnetic moment (μB per cell): 2.08
V (Å³ per cell): 85.67

---

Computed VASP energy, in the same sequence as the records: -7.773; -7.085; -6.360; -5.654 eV per atom.